# MgTlBr2F (GGA-PBE, optimized geometry)
# - formation energy from raw total energies (eV/atom) = -1.77
# - D(E_F) (states/eV/cell) = 0.00
# - calculated total energy (eV for the cell shown) = -18.0
data_MgTlBr2F
_cell_length_a 5.597
_cell_length_b 5.597
_cell_length_c 3.903
_cell_angle_alpha 90.00
_cell_angle_beta 90.00
_cell_angle_gamma 90.00
_space_group_name_H-M_alt 'P 4/m m m'
_space_group_IT_number 123
_space_group_name_Hall '-P 4 2'
loop_
_atom_site_label
_atom_site_fract_x
_atom_site_fract_y
_atom_site_fract_z
Mg1 0.000 0.000 0.000
Tl1 0.500 0.500 0.500
Br1 0.000 0.500 0.000
F1 0.000 0.000 0.500